Entry 1:
DFT (PBE) results for an optimized crystal structure of LiGe3As.

The calculation puts the calculated formation energy at 0.580 eV per atom. Its energy is -3.50 eV/atom. For the offset from the most stable computed form, the calculation gives 70 meV per atom. As for the size of the total moment: 0.00 μB per formula unit.

The space group is Pm-3m (No. 221) and the conventional cell measures 5.107, 5.107 and 5.107 Å, with angles of 90.00, 90.00 and 90.00 degrees. The distinct sites, in fractional coordinates, are Li at (0.000, 0.000, 0.000), Ge at (0.000, 0.500, 0.500) and As at (0.500, 0.500, 0.500).

Entry 2:
DFT (PBE) results for an optimized crystal structure of LiGe3As.

The calculation puts the calculated formation energy at 0.510 eV per atom. Its energy is -3.57 eV/atom. For the offset from the most stable computed form, the calculation gives 0 meV per atom. As for the size of the total moment: 0.00 μB per formula unit.

The space group is Pm-3m (No. 221) and the conventional cell measures 4.619, 4.619 and 4.619 Å, with angles of 90.00, 90.00 and 90.00 degrees. The distinct sites, in fractional coordinates, are Li at (0.000, 0.000, 0.000), Ge at (0.000, 0.000, 0.500) and As at (0.500, 0.500, 0.500).